1.
Here is a geometry-optimized KIrOs2 structure from Alexandria via LeMat-Bulk. Energies are from PBE.

abc: 6.408 6.408 6.408
angles: 90.00 90.00 90.00
Space group Fm-3m (No. 225)
Inequivalent atoms, fractional coordinates:
1 K 0.000 0.000 0.000 [4 per cell]
2 Ir 0.000 0.000 0.500 [4 per cell]
3 Os 0.250 0.250 0.250 [8 per cell]

## Properties
ΔE to the lowest computed polymorph in meV/atom: 1048
Formation enthalpy at 0 K in eV/f.u.: 6.94
Uncorrected energy in eV/atom: -6.3705



2.
Here is a geometry-optimized KTl2Bi structure from Alexandria via LeMat-Bulk. Energies are from PBE.

abc: 4.7828 4.7828 30.4697
angles: 90.00 90.00 120.00
Space group R-3m (No. 166, hexagonal axes)
Inequivalent atoms, fractional coordinates:
1 K 0.0000 0.0000 0.0000 [3 per cell]
2 Tl 0.0000 0.0000 0.1151 [6 per cell]
3 Bi 0.0000 0.0000 0.5000 [3 per cell]

## Properties
ΔE to the lowest computed polymorph in meV/atom: 255
Formation enthalpy at 0 K in eV/f.u.: 0.19
Uncorrected energy in eV/atom: -2.3802



3.
Here is a geometry-optimized RbGaO2 structure from Alexandria via LeMat-Bulk. Energies are from PBE.

abc: 5.889 4.462 9.237
angles: 90.00 90.00 90.00
Space group Pnma (No. 62)
Inequivalent atoms, fractional coordinates:
1 Rb 0.029 0.250 0.127 [4 per cell]
2 Ga 0.012 0.750 0.378 [4 per cell]
3 O 0.021 0.250 0.422 [4 per cell]
4 O 0.222 0.250 0.763 [4 per cell]

## Properties
Formation energy (no corrections) in meV per atom: -1619
Uncorrected energy in eV/atom: -5.0971



4.
Here is a geometry-optimized NaTeN3 structure from Alexandria via LeMat-Bulk. Energies are from PBE.

abc: 3.999 3.999 3.999
angles: 90.00 90.00 90.00
Space group Pm-3m (No. 221)
Inequivalent atoms, fractional coordinates:
1 Na 0.000 0.000 0.000 [1 per cell]
2 Te 0.500 0.500 0.500 [1 per cell]
3 N 0.000 0.500 0.500 [3 per cell]

## Properties
Formation energy (no corrections) in meV per atom: 1329
Uncorrected energy in eV/atom: -4.5579



5.
Here is a geometry-optimized La2NiCl structure from Alexandria via LeMat-Bulk. Energies are from PBE.

abc: 3.518 4.563 5.966
angles: 90.00 90.00 90.00
Space group Pmmm (No. 47)
Inequivalent atoms, fractional coordinates:
1 La 0.000 0.000 0.000 [1 per cell]
2 La 0.000 0.500 0.500 [1 per cell]
3 Ni 0.500 0.000 0.500 [1 per cell]
4 Cl 0.500 0.500 0.000 [1 per cell]

## Properties
Formation energy (no corrections) in meV per atom: -747
ΔE to the lowest computed polymorph in meV/atom: 226
Uncorrected energy in eV/atom: -5.1175



6.
Here is a geometry-optimized YMg2Pb structure from Alexandria via LeMat-Bulk. Energies are from PBE.

abc: 4.624 4.624 9.626
angles: 90.00 90.00 90.00
Space group I-4m2 (No. 119)
Inequivalent atoms, fractional coordinates:
1 Y 0.000 0.000 0.000 [2 per cell]
2 Mg 0.000 0.000 0.500 [2 per cell]
3 Mg 0.000 0.500 0.250 [2 per cell]
4 Pb 0.000 0.500 0.750 [2 per cell]

## Properties
Formation enthalpy at 0 K in eV/f.u.: -0.74
Uncorrected energy in eV/atom: -3.5260



7.
Here is a geometry-optimized CeGePt4 structure from Alexandria via LeMat-Bulk. Energies are from PBE.

abc: 7.623 7.623 7.623
angles: 90.00 90.00 90.00
Space group F-43m (No. 216)
Inequivalent atoms, fractional coordinates:
1 Ce 0.000 0.000 0.000 [4 per cell]
2 Ge 0.250 0.250 0.750 [4 per cell]
3 Pt 0.124 0.124 0.376 [16 per cell]

## Properties
ΔE to the lowest computed polymorph in meV/atom: 74
Formation enthalpy at 0 K in eV/f.u.: -4.04
Uncorrected energy in eV/atom: -6.4583



8.
Here is a geometry-optimized NiRhC structure from Alexandria via LeMat-Bulk. Energies are from PBE.

abc: 2.885 3.553 3.305
angles: 90.00 97.56 90.00
Space group Pm (No. 6)
Inequivalent atoms, fractional coordinates:
1 Ni 0.000 0.000 0.000 [1 per cell]
2 Rh 0.549 0.500 0.478 [1 per cell]
3 C 0.157 0.500 0.916 [1 per cell]

## Properties
ΔE to the lowest computed polymorph in meV/atom: 48
Formation enthalpy at 0 K in eV/f.u.: 1.08
Uncorrected energy in eV/atom: -7.0923



9.
Here is a geometry-optimized SrLaTbPr structure from Alexandria via LeMat-Bulk. Energies are from PBE.

abc: 8.517 8.517 8.517
angles: 90.00 90.00 90.00
Space group F-43m (No. 216)
Inequivalent atoms, fractional coordinates:
1 Sr 0.000 0.000 0.000 [4 per cell]
2 La 0.250 0.250 0.250 [4 per cell]
3 Tb 0.000 0.000 0.500 [4 per cell]
4 Pr 0.250 0.250 0.750 [4 per cell]

## Properties
Formation enthalpy at 0 K in eV/f.u.: 0.79
Uncorrected energy in eV/atom: -3.8071



10.
Here is a geometry-optimized NaNpO5 structure from Alexandria via LeMat-Bulk. Energies are from PBE.

abc: 4.677 14.122 5.967
angles: 90.00 95.56 90.00
Space group C2/c (No. 15)
Inequivalent atoms, fractional coordinates:
1 Na 0.000 0.162 0.250 [4 per cell]
2 Np 0.000 0.422 0.250 [4 per cell]
3 O 0.000 0.109 0.750 [4 per cell]
4 O 0.072 0.323 0.461 [8 per cell]
5 O 0.215 0.475 0.903 [8 per cell]

## Properties
Formation energy (no corrections) in meV per atom: -1655
Uncorrected energy in eV/atom: -7.2338



11.
Here is a geometry-optimized Pu2MgHg6 structure from Alexandria via LeMat-Bulk. Energies are from PBE.

abc: 8.341 8.792 6.043
angles: 90.00 94.26 90.00
Space group C2/m (No. 12)
Inequivalent atoms, fractional coordinates:
1 Pu 0.162 0.000 0.162 [4 per cell]
2 Mg 0.000 0.500 0.500 [2 per cell]
3 Hg 0.000 0.336 0.000 [4 per cell]
4 Hg 0.168 0.168 0.664 [8 per cell]

## Properties
Formation enthalpy at 0 K in eV/f.u.: -1.00
Uncorrected energy in eV/atom: -3.6741



12.
Here is a geometry-optimized BeSiIrPt structure from Alexandria via LeMat-Bulk. Energies are from PBE.

abc: 5.873 5.873 5.873
angles: 90.00 90.00 90.00
Space group F-43m (No. 216)
Inequivalent atoms, fractional coordinates:
1 Be 0.000 0.000 0.000 [4 per cell]
2 Si 0.000 0.000 0.500 [4 per cell]
3 Ir 0.250 0.250 0.250 [4 per cell]
4 Pt 0.250 0.250 0.750 [4 per cell]

## Properties
Formation energy (no corrections) in meV per atom: -487
Uncorrected energy in eV/atom: -6.4995



13.
Here is a geometry-optimized NbRhCl3 structure from Alexandria via LeMat-Bulk. Energies are from PBE.

abc: 4.791 4.791 4.791
angles: 90.00 90.00 90.00
Space group Pm-3m (No. 221)
Inequivalent atoms, fractional coordinates:
1 Nb 0.000 0.000 0.000 [1 per cell]
2 Rh 0.500 0.500 0.500 [1 per cell]
3 Cl 0.000 0.500 0.500 [3 per cell]

## Properties
Formation energy (no corrections) in meV per atom: 396
ΔE to the lowest computed polymorph in meV/atom: 191
Uncorrected energy in eV/atom: -4.1961



14.
Here is a geometry-optimized Li3Ti3MnS8 structure from Alexandria via LeMat-Bulk. Energies are from PBE.

abc: 6.9391 6.9391 18.4106
angles: 90.00 90.00 120.00
Space group R-3m (No. 166, hexagonal axes)
Inequivalent atoms, fractional coordinates:
1 Li 0.0000 0.5000 0.0000 [9 per cell]
2 Ti 0.0000 0.5000 0.5000 [9 per cell]
3 Mn 0.0000 0.0000 0.5000 [3 per cell]
4 S 0.0000 0.0000 0.2456 [6 per cell]
5 S 0.0012 0.5006 0.2431 [18 per cell]

## Properties
Formation energy (no corrections) in meV per atom: -1250
Uncorrected energy in eV/atom: -6.0248



15.
Here is a geometry-optimized MgCdBiTe2 structure from Alexandria via LeMat-Bulk. Energies are from PBE.

abc: 5.699 5.699 5.103
angles: 90.00 90.00 90.00
Space group P4/mmm (No. 123)
Inequivalent atoms, fractional coordinates:
1 Mg 0.000 0.000 0.000 [1 per cell]
2 Cd 0.000 0.000 0.500 [1 per cell]
3 Bi 0.500 0.500 0.000 [1 per cell]
4 Te 0.000 0.500 0.500 [2 per cell]

## Properties
Formation energy (no corrections) in meV per atom: 370
Uncorrected energy in eV/atom: -2.1648



16.
Here is a geometry-optimized ZrSc2Cl structure from Alexandria via LeMat-Bulk. Energies are from PBE.

abc: 5.292 5.292 3.220
angles: 90.00 90.00 90.00
Space group P4/mmm (No. 123)
Inequivalent atoms, fractional coordinates:
1 Zr 0.000 0.000 0.000 [1 per cell]
2 Sc 0.000 0.500 0.500 [2 per cell]
3 Cl 0.500 0.500 0.000 [1 per cell]

## Properties
Formation energy (no corrections) in meV per atom: -173
ΔE to the lowest computed polymorph in meV/atom: 461
Uncorrected energy in eV/atom: -5.9371



17.
Here is a geometry-optimized LiLaCe structure from Alexandria via LeMat-Bulk. Energies are from PBE.

abc: 3.555 3.555 13.510
angles: 90.00 90.00 90.00
Space group I4mm (No. 107)
Inequivalent atoms, fractional coordinates:
1 Li 0.000 0.000 0.000 [2 per cell]
2 La 0.000 0.000 0.667 [2 per cell]
3 Ce 0.000 0.000 0.342 [2 per cell]

## Properties
ΔE to the lowest computed polymorph in meV/atom: 122
Formation enthalpy at 0 K in eV/f.u.: 0.50
Uncorrected energy in eV/atom: -4.0917



18.
Here is a geometry-optimized Cs4SmU3Se8 structure from Alexandria via LeMat-Bulk. Energies are from PBE.

abc: 8.5869 8.5869 25.3052
angles: 90.00 90.00 120.00
Space group R-3m (No. 166, hexagonal axes)
Inequivalent atoms, fractional coordinates:
1 Cs 0.0000 0.0000 0.0000 [3 per cell]
2 Cs 0.0000 0.5000 0.0000 [9 per cell]
3 Sm 0.0000 0.0000 0.5000 [3 per cell]
4 U 0.0000 0.5000 0.5000 [9 per cell]
5 Se 0.0000 0.0000 0.2289 [6 per cell]
6 Se 0.0032 0.5016 0.7705 [18 per cell]

## Properties
Formation energy (no corrections) in meV per atom: -1325
Uncorrected energy in eV/atom: -5.6925



19.
Here is a geometry-optimized Mn2TcAu structure from Alexandria via LeMat-Bulk. Energies are from PBE.

abc: 8.718 2.732 4.805
angles: 90.00 100.88 90.00
Space group C2/m (No. 12)
Inequivalent atoms, fractional coordinates:
1 Mn 0.244 0.000 0.193 [4 per cell]
2 Tc 0.000 0.500 0.000 [2 per cell]
3 Au 0.000 0.000 0.500 [2 per cell]

## Properties
Formation enthalpy at 0 K in eV/f.u.: 1.36
Uncorrected energy in eV/atom: -7.6562



20.
Here is a geometry-optimized MnAl2V5Cr2 structure from Alexandria via LeMat-Bulk. Energies are from PBE.

abc: 9.661 9.661 2.959
angles: 90.00 90.00 90.00
Space group P4/mbm (No. 127)
Inequivalent atoms, fractional coordinates:
1 Mn 0.000 0.000 0.000 [2 per cell]
2 Al 0.172 0.328 0.000 [4 per cell]
3 V 0.000 0.500 0.500 [2 per cell]
4 V 0.067 0.810 0.500 [8 per cell]
5 Cr 0.131 0.631 0.000 [4 per cell]

## Properties
Formation enthalpy at 0 K in eV/f.u.: 1.09
Uncorrected energy in eV/atom: -8.0402



21.
Here is a geometry-optimized Na2TlP2 structure from Alexandria via LeMat-Bulk. Energies are from PBE.

abc: 7.578 7.578 4.113
angles: 90.00 90.00 90.00
Space group P4/mbm (No. 127)
Inequivalent atoms, fractional coordinates:
1 Na 0.184 0.316 0.000 [4 per cell]
2 Tl 0.000 0.000 0.500 [2 per cell]
3 P 0.099 0.599 0.500 [4 per cell]

## Properties
ΔE to the lowest computed polymorph in meV/atom: 0
Formation enthalpy at 0 K in eV/f.u.: -0.97
Uncorrected energy in eV/atom: -3.3583



22.
Here is a geometry-optimized Tm5Al4In structure from Alexandria via LeMat-Bulk. Energies are from PBE.

abc: 3.534 3.534 18.469
angles: 90.00 90.00 90.00
Space group P4/mmm (No. 123)
Inequivalent atoms, fractional coordinates:
1 Tm 0.000 0.000 0.000 [1 per cell]
2 Tm 0.000 0.000 0.193 [2 per cell]
3 Tm 0.000 0.000 0.389 [2 per cell]
4 Al 0.500 0.500 0.096 [2 per cell]
5 Al 0.500 0.500 0.291 [2 per cell]
6 In 0.500 0.500 0.500 [1 per cell]

## Properties
Formation enthalpy at 0 K in eV/f.u.: -3.94
Uncorrected energy in eV/atom: -4.4007



23.
Here is a geometry-optimized Cu2AuF8 structure from Alexandria via LeMat-Bulk. Energies are from PBE.

abc: 8.212 7.453 5.145
angles: 90.00 103.09 90.00
Space group C2/m (No. 12)
Inequivalent atoms, fractional coordinates:
1 Cu 0.176 0.000 0.492 [4 per cell]
2 Au 0.000 0.500 0.000 [2 per cell]
3 F 0.041 0.000 0.744 [4 per cell]
4 F 0.142 0.331 0.253 [8 per cell]
5 F 0.195 0.500 0.753 [4 per cell]

## Properties
Formation energy (no corrections) in meV per atom: -1205
ΔE to the lowest computed polymorph in meV/atom: 0
Uncorrected energy in eV/atom: -3.6082



24.
Here is a geometry-optimized PrNd4Bi3 structure from Alexandria via LeMat-Bulk. Energies are from PBE.

abc: 4.145 8.905 14.899
angles: 90.00 90.00 90.00
Space group Immm (No. 71)
Inequivalent atoms, fractional coordinates:
1 Pr 0.000 0.000 0.000 [2 per cell]
2 Nd 0.000 0.297 0.133 [8 per cell]
3 Bi 0.000 0.000 0.500 [2 per cell]
4 Bi 0.000 0.500 0.320 [4 per cell]

## Properties
Formation enthalpy at 0 K in eV/f.u.: -3.93
Uncorrected energy in eV/atom: -4.9276



25.
Here is a geometry-optimized NdBi2P2Pd7 structure from Alexandria via LeMat-Bulk. Energies are from PBE.

abc: 6.100 6.805 11.516
angles: 90.00 93.87 90.00
Space group C2/m (No. 12)
Inequivalent atoms, fractional coordinates:
1 Nd 0.000 0.000 0.000 [2 per cell]
2 Bi 0.151 0.000 0.385 [4 per cell]
3 P 0.180 0.500 0.186 [4 per cell]
4 Pd 0.000 0.500 0.000 [2 per cell]
5 Pd 0.130 0.293 0.790 [8 per cell]
6 Pd 0.134 0.500 0.391 [4 per cell]

## Properties
Formation enthalpy at 0 K in eV/f.u.: -6.14
Uncorrected energy in eV/atom: -5.4870